! Na3WO (PBE with a Hubbard U, relaxed); values from VASP
! uncorrected energy = -15.76 eV/f.u.
! total moment = 5.03 μB/f.u.
! SG = Pm-3m, No. 221
&SYSTEM
  ibrav = 0, nat = 5, ntyp = 3
/
ATOMIC_SPECIES
Na 22.99 Na.upf
W 183.84 W.upf
O 16.00 O.upf
CELL_PARAMETERS angstrom
4.772 0.000 0.000
0.000 4.772 0.000
0.000 0.000 4.772
ATOMIC_POSITIONS crystal
Na 0.000 0.500 0.000
Na 0.500 0.000 0.000
Na 0.000 0.000 0.500
W 0.500 0.500 0.500
O 0.000 0.000 0.000